CdRhW4 after structural relaxation. Source: Alexandria via LeMat-Bulk, functional PBE.

abc: 5.2850 5.2850 5.2850
angles: 60.00 60.00 60.00
Atoms (fractional coordinates):
Cd: 0.0000 0.0000 0.0000
Rh: 0.7500 0.7500 0.7500
W: 0.3738 0.3738 0.3738
W: 0.3738 0.3738 0.8787
W: 0.3738 0.8787 0.3738
W: 0.8787 0.3738 0.3738

Values from the calculation:
For the electronic total energy, the calculation gives -9.47 eV/atom. For the formation energy, the calculation gives 0.547 eV per atom. The value obtained for the magnetization is 0.00 μB per formula unit.